Record 1
Computed, not measured: K2TbPd3F12 after structural relaxation at the PBE level of DFT.

The structure in POSCAR format:
```
K2TbPd3F12
1.0
3.8417 2.2180 6.1459
-3.8417 2.2180 6.1459
0.0000 -4.4360 6.1459
K Tb Pd F
2 1 3 12
Direct
0.1270 0.1270 0.1270
0.8730 0.8730 0.8730
0.5000 0.5000 0.5000
0.0000 0.5000 0.5000
0.5000 0.0000 0.5000
0.5000 0.5000 0.0000
0.1351 0.6124 0.6124
0.2170 0.2170 0.6276
0.2170 0.6276 0.2170
0.3724 0.7830 0.7830
0.3876 0.3876 0.8649
0.3876 0.8649 0.3876
0.6125 0.1351 0.6125
0.6125 0.6125 0.1351
0.6276 0.2170 0.2170
0.7830 0.3724 0.7830
0.7830 0.7830 0.3724
0.8649 0.3876 0.3876
```

## Properties
Uncorrected energy, eV/atom: -4.6360
Total moment, μB/f.u.: 5.086
Raw formation energy, eV/atom: -2.1438

***

Record 2
Computed, not measured: CeErLuSn after structural relaxation at the PBE level of DFT.

The structure in POSCAR format:
```
CeErLuSn
1.0
0.0000 3.8093 3.8093
3.8093 0.0000 3.8093
3.8093 3.8093 0.0000
Ce Er Lu Sn
1 1 1 1
Direct
0.0000 0.0000 0.0000
0.5000 0.5000 0.5000
0.7500 0.7500 0.7500
0.2500 0.2500 0.2500
```

## Properties
Uncorrected energy, eV/atom: -4.9507
Total moment, μB/f.u.: 0.706

***

Record 3
Computed, not measured: NaTmCdBr6 after structural relaxation at the PBE level of DFT.

The structure in POSCAR format:
```
NaTmCdBr6
1.0
7.1293 0.0000 0.0000
-3.5646 6.1741 0.0000
0.0000 0.0000 13.3799
Na Tm Cd Br
2 2 2 12
Direct
0.0000 0.0000 0.0000
0.0000 0.0000 0.5000
0.3333 0.6667 0.2500
0.6667 0.3333 0.7500
0.3333 0.6667 0.7500
0.6667 0.3333 0.2500
0.0045 0.3577 0.1308
0.0045 0.6468 0.3692
0.3532 0.3577 0.3692
0.3532 0.9955 0.1308
0.3577 0.0045 0.6308
0.3577 0.3532 0.8692
0.6423 0.6468 0.1308
0.6423 0.9955 0.3692
0.6468 0.0045 0.8692
0.6468 0.6423 0.6308
0.9955 0.3532 0.6308
0.9955 0.6423 0.8692
```

## Properties
Uncorrected energy, eV/atom: -3.3098
Total moment, μB/f.u.: 0.000
Raw formation energy, eV/atom: -1.4495

***

Record 4
Computed, not measured: Be16NiW2 after structural relaxation at the PBE level of DFT.

The structure in POSCAR format:
```
Be16NiW2
1.0
3.6551 2.1103 3.5389
-3.6551 2.1103 3.5389
0.0000 -4.2205 3.5389
Be Ni W
16 1 2
Direct
0.9995 0.2987 0.7018
0.9995 0.7018 0.2987
0.0011 0.0011 0.5021
0.0011 0.5021 0.0011
0.1061 0.1061 0.1061
0.1621 0.6517 0.6517
0.2987 0.9995 0.7018
0.2987 0.7018 0.9995
0.3517 0.3517 0.8392
0.3517 0.8392 0.3517
0.5021 0.0011 0.0011
0.6517 0.1621 0.6517
0.6517 0.6517 0.1621
0.7018 0.9995 0.2987
0.7018 0.2987 0.9995
0.8392 0.3517 0.3517
0.9059 0.9059 0.9059
0.3406 0.3406 0.3406
0.6574 0.6574 0.6574
```

## Properties
Uncorrected energy, eV/atom: -4.9846
Total moment, μB/f.u.: 0.000

***

Record 5
Computed, not measured: Pr3PuRh8 after structural relaxation at the PBE level of DFT.

The structure in POSCAR format:
```
Pr3PuRh8
1.0
2.7057 1.5621 8.8520
-2.7057 1.5621 8.8520
0.0000 -3.1243 8.8520
Pr Pu Rh
3 1 8
Direct
0.0000 0.0000 0.0000
0.1259 0.1259 0.1259
0.6236 0.6236 0.6236
0.4997 0.4997 0.4997
0.0617 0.0617 0.5606
0.0617 0.5606 0.0617
0.0651 0.5624 0.5624
0.3123 0.3123 0.3123
0.5606 0.0617 0.0617
0.5624 0.0651 0.5624
0.5624 0.5624 0.0651
0.8125 0.8125 0.8125
```

## Properties
Uncorrected energy, eV/atom: -7.8749
Total moment, μB/f.u.: 4.904

***

Record 6
Computed, not measured: Ta4CrPt after structural relaxation at the PBE level of DFT.

The structure in POSCAR format:
```
Ta4CrPt
1.0
0.0000 3.7927 3.7927
3.7927 0.0000 3.7927
3.7927 3.7927 0.0000
Ta Cr Pt
4 1 1
Direct
0.1242 0.1242 0.1242
0.1242 0.1242 0.6275
0.1242 0.6275 0.1242
0.6275 0.1242 0.1242
0.7500 0.7500 0.7500
0.5000 0.5000 0.5000
```

## Properties
Uncorrected energy, eV/atom: -10.1499
Total moment, μB/f.u.: 2.975